No. 1
! SrMgZn2Mo (GGA-PBE, relaxed); values from VASP
! - ΔH_f (0 K): 0.438 eV/atom
! - Space group: P4/mmm
! - Crystal system: tetragonal
&SYSTEM
  ibrav = 0, nat = 5, ntyp = 4
/
ATOMIC_SPECIES
Sr 87.62 Sr.upf
Mg 24.30 Mg.upf
Zn 65.41 Zn.upf
Mo 95.94 Mo.upf
CELL_PARAMETERS angstrom
5.001 0.000 0.000
0.000 5.001 0.000
0.000 0.000 5.158
ATOMIC_POSITIONS angstrom
Sr 0.000 0.000 0.000
Mg 2.500 2.500 0.000
Zn 0.000 2.500 2.579
Zn 2.500 0.000 2.579
Mo 2.500 2.500 2.579

No. 2
! MnCd2 (GGA-PBE, relaxed); values from VASP
! - ΔH_f (0 K): 0.238 eV/atom
! - Space group: I4_1/amd
! - Crystal system: tetragonal
&SYSTEM
  ibrav = 0, nat = 6, ntyp = 2
/
ATOMIC_SPECIES
Mn 54.94 Mn.upf
Cd 112.41 Cd.upf
CELL_PARAMETERS angstrom
-1.494 1.494 13.285
1.494 -1.494 13.285
1.494 1.494 -13.285
ATOMIC_POSITIONS angstrom
Mn 1.494 0.747 3.321
Mn 0.000 0.747 9.964
Cd 1.494 -0.747 7.970
Cd 1.494 -0.747 11.959
Cd 0.000 2.240 1.327
Cd 0.000 2.240 5.316

No. 3
! ZrHgAs2Se (GGA-PBE, relaxed); values from VASP
! - Excess energy over the best structure of this formula in the dataset: 0.798 eV/atom
! - Space group: P4/mmm
! - Crystal system: tetragonal
&SYSTEM
  ibrav = 0, nat = 5, ntyp = 4
/
ATOMIC_SPECIES
Zr 91.22 Zr.upf
Hg 200.59 Hg.upf
As 74.92 As.upf
Se 78.96 Se.upf
CELL_PARAMETERS angstrom
5.065 0.000 0.000
0.000 5.065 0.000
0.000 0.000 5.118
ATOMIC_POSITIONS angstrom
Zr 0.000 0.000 0.000
Hg 2.533 2.533 2.559
As 0.000 2.533 2.559
As 2.533 0.000 2.559
Se 2.533 2.533 0.000

No. 4
! ThSn3Rh3 (GGA-PBE, relaxed); values from VASP
! - ΔH_f (0 K): 0.055 eV/atom
! - Space group: Pm-3n
! - Crystal system: cubic
&SYSTEM
  ibrav = 0, nat = 14, ntyp = 3
/
ATOMIC_SPECIES
Th 232.04 Th.upf
Sn 118.71 Sn.upf
Rh 102.91 Rh.upf
CELL_PARAMETERS angstrom
7.113 0.000 0.000
0.000 7.113 0.000
0.000 0.000 7.113
ATOMIC_POSITIONS angstrom
Th 0.000 0.000 0.000
Th 3.557 3.557 3.557
Sn 0.000 1.778 3.557
Sn 0.000 5.335 3.557
Sn 1.778 3.557 0.000
Sn 3.557 0.000 1.778
Sn 3.557 0.000 5.335
Sn 5.335 3.557 0.000
Rh 0.000 3.557 1.778
Rh 0.000 3.557 5.335
Rh 1.778 0.000 3.557
Rh 3.557 1.778 0.000
Rh 3.557 5.335 0.000
Rh 5.335 0.000 3.557

For the records above, the corresponding magnetic moment values read 0.470 3.575 0.000 0.000 μB/f.u..